No. 1
A geometry-optimized BaCuRh2 structure, computed with PBEsol.

Values from the calculation:
ΔE to the lowest computed polymorph in kJ/mol of formula units: 213
Size of the total moment in μB per atom: 0.048
VASP energy in eV per atom: -5.16
ΔE_f in eV/atom: 0.528
Space group: P4/mmm, No. 123

The structure in extended XYZ format:
```
4
Lattice="-1.139 -2.743 -2.878 2.062 -2.967 2.013 -3.466 -0.898 2.227" Properties=species:S:1:pos:R:3 pbc="T T T"
Ba -1.271 -3.304 0.681
Rh -0.569 -1.372 -1.439
Rh 1.031 -1.483 1.006
Cu -1.733 -0.449 1.114
```

No. 2
A geometry-optimized CoReNF2 structure, computed with PBEsol.

Values from the calculation:
Formation energy from raw total energies in eV/atom: 0.105
Size of the total moment in μB per atom: 0.442
VASP energy in eV per atom: -6.59
Space group: P4/mmm, No. 123

The structure in extended XYZ format:
```
5
Lattice="3.814 0.000 0.000 0.000 4.066 0.000 0.000 0.000 4.066" Properties=species:S:1:pos:R:3 pbc="T T T"
F 0.000 2.033 0.000
Re 0.000 0.000 0.000
N 1.907 0.000 0.000
Co 1.907 2.033 2.033
F 0.000 0.000 2.033
```

No. 3
A geometry-optimized BeCd2Cl structure, computed with PBEsol.

Values from the calculation:
Formation energy from raw total energies in eV/atom: 0.236
Size of the total moment in μB per atom: 0.000
VASP energy in eV per atom: -1.86
Space group: Cmmm, No. 65

The structure in extended XYZ format:
```
4
Lattice="2.889 0.000 0.000 0.000 5.086 0.081 0.000 -0.115 5.085" Properties=species:S:1:pos:R:3 pbc="T T T"
Cl 1.444 0.000 0.000
Be 1.444 2.485 2.583
Cd 0.000 -0.058 2.543
Cd 0.000 2.543 0.041
```

No. 4
A geometry-optimized Cd2CoHg structure, computed with PBEsol.

Values from the calculation:
Size of the total moment in μB per atom: 0.353
VASP energy in eV per atom: -2.38
ΔE_f in eV/atom: 0.292
Space group: R3m, No. 160

The structure in extended XYZ format:
```
4
Lattice="-1.455 0.469 2.556 -2.240 -1.797 0.789 4.826 -6.028 5.587" Properties=species:S:1:pos:R:3 pbc="T T T"
Cd -3.689 -1.333 3.349
Hg 0.665 -5.348 6.564
Co 0.560 -3.673 4.462
Cd 0.467 -2.009 2.369
```

No. 5
A geometry-optimized CrRe2Si structure, computed with PBEsol.

Values from the calculation:
Formation energy from raw total energies in eV/atom: -0.067
Size of the total moment in μB per atom: 0.001
VASP energy in eV per atom: -10.73
Space group: Immm, No. 71

The structure in extended XYZ format:
```
4
Lattice="2.999 0.000 0.000 0.000 4.230 0.000 -1.500 -2.115 4.140" Properties=species:S:1:pos:R:3 pbc="T T T"
Cr 0.000 2.115 0.000
Re 0.000 0.000 2.020
Si 1.500 0.000 0.000
Re 1.500 2.115 2.119
```

No. 6
A geometry-optimized ZnReAs structure, computed with PBEsol.

Values from the calculation:
Size of the total moment in μB per atom: 0.000
VASP energy in eV per atom: -6.61
ΔE_f in eV/atom: 0.067
Space group: I4mm, No. 107

The structure in extended XYZ format:
```
3
Lattice="3.195 0.000 0.000 0.000 3.195 0.000 -1.597 -1.597 4.185" Properties=species:S:1:pos:R:3 pbc="T T T"
Re 1.597 1.597 1.312
As 0.000 0.000 0.081
Zn 0.000 0.000 2.792
```

No. 7
A geometry-optimized NbAs3Au structure, computed with PBEsol.

Values from the calculation:
Size of the total moment in μB per atom: 0.347
VASP energy in eV per atom: -4.87
ΔE_f in eV/atom: 1.146
Space group: Pm-3m, No. 221

The structure in extended XYZ format:
```
5
Lattice="4.862 0.000 0.000 0.000 4.862 0.000 0.000 0.000 4.862" Properties=species:S:1:pos:R:3 pbc="T T T"
As 0.000 0.000 2.431
Nb 2.431 2.431 2.431
As 0.000 2.431 0.000
As 2.431 0.000 0.000
Au 0.000 0.000 0.000
```

No. 8
A geometry-optimized MoWAu2 structure, computed with PBEsol.

Values from the calculation:
ΔE to the lowest computed polymorph in kJ/mol of formula units: 95
Size of the total moment in μB per atom: 0.000
VASP energy in eV per atom: -7.83
ΔE_f in eV/atom: 0.525
Space group: F-43m, No. 216

The structure in extended XYZ format:
```
4
Lattice="4.515 0.000 0.000 2.257 3.910 0.000 2.257 1.303 3.686" Properties=species:S:1:pos:R:3 pbc="T T T"
W 2.257 1.303 0.922
Mo 4.515 2.607 1.843
Au 0.000 0.000 0.000
Au 6.772 3.910 2.765
```